Compound: CaCrGa2Te
Source: Alexandria via LeMat-Bulk
Functional: GGA-PBE
Structure: relaxed

Computed properties:
Crystal system: tetragonal
E_form (uncorrected): 6.7 eV/f.u.
Calculated volume: 28.0 Å³/atom
Final energy: -2.83 eV/atom
Space-group type: P4/mmm

Cell: 5.4421 5.4421 4.7280 Å, 90.00 90.00 90.00°
Positions (direct):
Ca: 0.0000 0.0000 0.0000
Cr: 0.0000 0.0000 0.5000
Ga: 0.0000 0.5000 0.0000
Ga: 0.5000 0.0000 0.0000
Te: 0.5000 0.5000 0.5000

Compound: CaTlCr2Ga
Source: Alexandria via LeMat-Bulk
Functional: GGA-PBE
Structure: relaxed

Computed properties:
Crystal system: tetragonal
Calculated volume: 26.0 Å³/atom
Final energy: -4.69 eV/atom
Formation energy from the elements: 0.64 eV per atom
Space-group type: P4/mmm

Cell: 4.9267 4.9267 5.3590 Å, 90.00 90.00 90.00°
Positions (direct):
Ca: 0.0000 0.0000 0.0000
Tl: 0.5000 0.5000 0.0000
Cr: 0.0000 0.5000 0.5000
Cr: 0.5000 0.0000 0.5000
Ga: 0.5000 0.5000 0.5000

Compound: Ca2CrGe
Source: Alexandria via LeMat-Bulk
Functional: GGA-PBE
Structure: relaxed

Computed properties:
Crystal system: tetragonal
Calculated volume: 22.7 Å³/atom
Final energy: -3.81 eV/atom
Formation energy from the elements: 0.75 eV per atom
Space-group type: I-42d

Cell: 6.3510 6.3510 6.3510 Å, 101.13 101.13 127.88°
Positions (direct):
Ca: 0.1234 0.6250 0.9984
Ca: 0.3750 0.3734 0.4984
Ca: 0.6266 0.1250 0.0016
Ca: 0.8750 0.8766 0.5016
Cr: 0.0000 0.0000 0.0000
Cr: 0.7500 0.2500 0.5000
Ge: 0.2500 0.7500 0.5000
Ge: 0.5000 0.5000 0.0000